No. 1
This record from Alexandria describes a geometry-optimized NdSmTeCl structure. The functional is PBE.

Results
The calculation puts the energy at -4.900 eV/atom. Its total magnetization is 0.00 μB/f.u. The calculation puts the formation energy without anion corrections at -124 kJ per mole of atoms.

```
NdSmTeCl
1.0
-2.568 -0.576 -4.581
2.710 -0.788 -4.466
-0.137 -4.717 -2.377
Te Sm Nd Cl
1 1 1 1
Direct
0.000 0.000 0.000
0.250 0.250 0.250
0.750 0.750 0.750
0.500 0.500 0.500
```

=====

No. 2
This record from Alexandria describes a geometry-optimized NdSnCl2 structure. The functional is PBE.

Results
The calculation puts the energy at -4.075 eV/atom. Its total magnetization is 0.00 μB/f.u. The calculation puts the formation energy without anion corrections at -93 kJ per mole of atoms.

```
NdSnCl2
1.0
-2.999 -4.016 -0.864
1.861 -4.711 0.465
-1.694 -2.956 4.648
Cl Nd Sn
2 1 1
Direct
0.308 0.308 0.075
0.692 0.692 0.925
0.000 0.000 0.000
0.500 0.500 0.500
```